Entry 1:
# SrBe2Re, relaxed, DFT PBE
# - V (Å³ per cell) = 128.1
# - ρ (Mg/m³) = 7.57
# - distance to the lowest polymorph of the same formula (eV per atom) = 0.492
# - DFT total energy (eV per atom) = -4.5827
# - DOS(E_F) (states/eV/f.u.) = 2.6
data_SrBe2Re
_cell_length_a 2.687
_cell_length_b 4.965
_cell_length_c 9.598
_cell_angle_alpha 90.00
_cell_angle_beta 90.00
_cell_angle_gamma 90.00
_space_group_name_H-M_alt 'I m m 2'
_space_group_IT_number 44
loop_
_space_group_symop_operation_xyz
'x,y,z'
'-x,-y,z'
'-x,y,z'
'x,-y,z'
'x+1/2,y+1/2,z+1/2'
'-x+1/2,-y+1/2,z+1/2'
'-x+1/2,y+1/2,z+1/2'
'x+1/2,-y+1/2,z+1/2'
loop_
_atom_site_label
_atom_site_type_symbol
_atom_site_fract_x
_atom_site_fract_y
_atom_site_fract_z
Sr1 Sr 0.000 0.000 0.000
Be1 Be 0.000 0.000 0.496
Be2 Be 0.000 0.500 0.791
Re1 Re 0.000 0.500 0.202

***

Entry 2:
# Pm3Te3O, relaxed, DFT PBE
# - V (Å³ per cell) = 802.6
# - ρ (Mg/m³) = 6.90
# - distance to the lowest polymorph of the same formula (eV per atom) = 0.000
# - energy relative to the elements, uncorrected (meV/atom) = -1877
# - DFT total energy (eV per atom) = -5.9679
# - DOS(E_F) (states/eV/f.u.) = 4.2
data_Pm3Te3O
_cell_length_a 13.797
_cell_length_b 4.192
_cell_length_c 13.877
_cell_angle_alpha 90.00
_cell_angle_beta 90.00
_cell_angle_gamma 90.00
_space_group_name_H-M_alt 'P n m a'
_space_group_IT_number 62
loop_
_space_group_symop_operation_xyz
'x,y,z'
'-x,-y,-z'
'-x+1/2,-y,z+1/2'
'x+1/2,y,-z+1/2'
'x+1/2,-y+1/2,-z+1/2'
'-x+1/2,y+1/2,z+1/2'
'-x,y+1/2,-z'
'x,-y+1/2,z'
loop_
_atom_site_label
_atom_site_type_symbol
_atom_site_fract_x
_atom_site_fract_y
_atom_site_fract_z
Pm1 Pm 0.038 0.250 0.160
Pm2 Pm 0.057 0.250 0.630
Pm3 Pm 0.206 0.250 0.853
Te1 Te 0.110 0.250 0.394
Te2 Te 0.124 0.750 0.001
Te3 Te 0.221 0.750 0.680
O1 O 0.040 0.250 0.795

***

Entry 3:
# LiNiGe, relaxed, DFT PBE
# - V (Å³ per cell) = 159.9
# - ρ (Mg/m³) = 5.75
# - DFT total energy (eV per atom) = -4.4563
# - DOS(E_F) (states/eV/f.u.) = 1.2
data_LiNiGe
_cell_length_a 4.001
_cell_length_b 9.935
_cell_length_c 4.021
_cell_angle_alpha 90.00
_cell_angle_beta 90.00
_cell_angle_gamma 90.00
_space_group_name_H-M_alt 'C m c m'
_space_group_IT_number 63
_space_group_name_Hall '-C 2c 2'
loop_
_atom_site_label
_atom_site_type_symbol
_atom_site_fract_x
_atom_site_fract_y
_atom_site_fract_z
Li1 Li 0.000 0.082 0.250
Ni1 Ni 0.000 0.237 0.750
Ge1 Ge 0.000 0.384 0.250

***

Question: Among the records above, which one has the highest V?
Answer: Pm3Te3O

***

Question: Which value of DOS(E_F) does entry 1 give?
Answer: 2.6 states/eV/f.u.

***

Question: Look up the DFT total energy of the second one.
Answer: -5.9679 eV per atom